# 1
First-principles (PBE-GGA) data for crystalline CsAgH6Ru at its relaxed geometry, as listed in the Alexandria database.

Summary:
**Crystal system**: monoclinic
**Total moment**: 0.0 μB per cell
**Final energy**: -33.50 eV per cell
**V**: 13.44 Å³ per atom

Cell: 5.4223 5.4223 6.7319 Å, 101.13 101.13 38.64°
Positions (direct):
1 Cs 0.0000 0.0000 0.0000
2 Ag 0.3355 0.3355 0.4613
3 H 0.1082 0.1082 0.5674
4 H 0.4907 0.4907 0.3416
5 H 0.5076 0.5076 0.6601
6 H 0.6817 0.6817 0.7830
7 H 0.6912 0.6912 0.3151
8 H 0.7957 0.7957 0.6148
9 Ru 0.6316 0.6316 0.5355



# 2
First-principles (PBE-GGA) data for crystalline Te5Pd3Au at its relaxed geometry, as listed in the Alexandria database.

Summary:
**Raw formation energy**: -0.88 eV/f.u.
**Crystal system**: monoclinic
**Total moment**: 0.0 μB per cell
**V**: 26.13 Å³ per atom
**DOS at the Fermi energy**: 5.38 states/eV/f.u.

Cell: 6.7353 6.7353 10.9914 Å, 103.05 103.05 81.08°
Positions (direct):
1 Te 0.1188 0.1188 0.4081
2 Te 0.1596 0.5467 0.3233
3 Te 0.1958 0.8042 0.0000
4 Te 0.2304 0.2304 0.9226
5 Te 0.4533 0.8404 0.6767
6 Te 0.5467 0.1596 0.3233
7 Te 0.7696 0.7696 0.0774
8 Te 0.8042 0.1958 0.0000
9 Te 0.8404 0.4533 0.6767
10 Te 0.8812 0.8812 0.5919
11 Pd 0.1590 0.1590 0.6650
12 Pd 0.1701 0.1701 0.1659
13 Pd 0.5000 0.5000 0.0000
14 Pd 0.5000 0.5000 0.5000
15 Pd 0.8299 0.8299 0.8341
16 Pd 0.8410 0.8410 0.3350
17 Au 0.4409 0.4409 0.7357
18 Au 0.5591 0.5591 0.2643



# 3
First-principles (PBE-GGA) data for crystalline LiGeB at its relaxed geometry, as listed in the Alexandria database.

Summary:
**E_form**: -0.9 kJ per mole of atoms
**Crystal system**: monoclinic
**Total moment**: 0.0 μB per cell
**V**: 14.85 Å³ per atom
**DOS at the Fermi energy**: 0.32 states/eV/f.u.

Cell: 3.5405 6.0794 4.4869 Å, 90.00 112.73 90.00°
Positions (direct):
1 Li 0.0000 0.0000 0.0000
2 Li 0.4489 0.5000 0.8968
3 Ge 0.6952 0.1994 0.4005
4 Ge 0.6952 0.8006 0.4005
5 B 0.1625 0.3634 0.3337
6 B 0.1625 0.6366 0.3337



# 4
First-principles (PBE-GGA) data for crystalline Sc6Si2AsSe3 at its relaxed geometry, as listed in the Alexandria database.

Summary:
**Raw formation energy**: -15.75 eV/f.u.
**Crystal system**: monoclinic
**Total moment**: 0.0 μB per cell
**V**: 20.63 Å³ per atom
**DOS at the Fermi energy**: 2.30 states/eV/f.u.

Cell: 8.6921 8.6921 7.8019 Å, 103.62 103.62 25.65°
Positions (direct):
1 Sc 0.0056 0.0056 0.2458
2 Sc 0.3307 0.3307 0.4236
3 Sc 0.3348 0.3348 0.9047
4 Sc 0.6652 0.6652 0.0953
5 Sc 0.6693 0.6693 0.5764
6 Sc 0.9944 0.9944 0.7542
7 Si 0.1673 0.1673 0.3348
8 Si 0.8327 0.8327 0.6652
9 As 0.5000 0.5000 0.0000
10 Se 0.1652 0.1652 0.8347
11 Se 0.5000 0.5000 0.5000
12 Se 0.8348 0.8348 0.1653



# 5
First-principles (PBE-GGA) data for crystalline Y2ZrPd at its relaxed geometry, as listed in the Alexandria database.

Summary:
**E_form**: -3.5 kJ per mole of atoms
**Crystal system**: tetragonal
**Distance to the lowest polymorph of the same formula**: 0.327 eV/atom
**Total moment**: 0.1 μB per cell
**V**: 26.11 Å³ per atom
**DOS at the Fermi energy**: 4.07 states/eV/f.u.

Cell: 6.5718 6.5718 6.5718 Å, 103.06 103.06 123.23°
Positions (direct):
1 Y 0.0746 0.1250 0.4496
2 Y 0.3750 0.9254 0.0504
3 Y 0.6754 0.6250 0.5504
4 Y 0.8750 0.3246 0.9496
5 Zr 0.2500 0.7500 0.5000
6 Zr 0.5000 0.5000 0.0000
7 Pd 0.0000 0.0000 0.0000
8 Pd 0.7500 0.2500 0.5000



# 6
First-principles (PBE-GGA) data for crystalline DyPaSbN2 at its relaxed geometry, as listed in the Alexandria database.

Summary:
**Raw formation energy**: -7.29 eV/f.u.
**Crystal system**: tetragonal
**Total moment**: 0.0 μB per cell
**V**: 20.47 Å³ per atom
**DOS at the Fermi energy**: 2.04 states/eV/f.u.

Cell: 7.1787 7.1787 7.1787 Å, 148.20 148.20 45.59°
Positions (direct):
1 Dy 0.0000 0.0000 0.0000
2 Pa 0.3374 0.3374 0.0000
3 Sb 0.6665 0.6665 0.0000
4 N 0.4096 0.9096 0.5000
5 N 0.9096 0.4096 0.5000